The following is a DFT calculation (GGA+U) of P2WOF after structural relaxation.

The structure belongs to space group P4/mmm (No. 123); the cell edges are 3.916, 3.916 and 4.510 Å and the angles 90.00°, 90.00° and 90.00°. The distinct sites, in fractional coordinates, are P at (0.000, 0.500, 0.000), W at (0.000, 0.000, 0.500), O at (0.500, 0.500, 0.500) and F at (0.500, 0.500, 0.000).

As for the energy relative to the lowest polymorph listed for this composition: 832 meV per atom.